The following is a GGA-PBE calculation of an optimized crystal structure of TbYW, from OQMD.

abc: 4.8842 4.8842 4.8842
angles: 60.00 60.00 60.00
Fractional positions:
Tb  0.0000  0.0000  0.0000
Y  0.5000  0.5000  0.5000
W  0.2500  0.2500  0.2500

Summary:
M_tot: 0.00 μB per cell
E_form: 865.2 meV/atom
energy: -7.153 eV/atom
calculated density: 8.70 g/cm³